Entry 1:
First-principles (PBE) data for crystalline LaPaMoN3 at its relaxed geometry, as listed in the Alexandria database.

* total magnetic moment: 0.26 μB/cell
* E_form (uncorrected): -1.043 eV/atom
* crystal system: monoclinic
* space-group type: P2_1/m, No. 11

Unit cell a=7.629 b=3.379 c=7.848 alpha=90.00 beta=99.53 gamma=90.00
Fractional coordinates of all 12 atoms:
La  0.165  0.250  0.192
La  0.835  0.750  0.808
Pa  0.354  0.750  0.832
Pa  0.646  0.250  0.168
Mo  0.105  0.250  0.585
Mo  0.895  0.750  0.415
N  0.137  0.250  0.859
N  0.180  0.750  0.437
N  0.428  0.750  0.118
N  0.572  0.250  0.882
N  0.820  0.250  0.563
N  0.863  0.750  0.141


Entry 2:
First-principles (PBE) data for crystalline SrZr2Tl at its relaxed geometry, as listed in the Alexandria database.

* total magnetic moment: 0.00 μB/cell
* crystal system: trigonal
* E_tot: -4.931 eV/atom
* space-group type: R-3m, No. 166

Unit cell a=11.360 b=11.360 c=11.360 alpha=16.95 beta=16.95 gamma=16.95
Fractional coordinates of all 4 atoms:
Sr  0.000  0.000  0.000
Zr  0.243  0.243  0.243
Zr  0.757  0.757  0.757
Tl  0.500  0.500  0.500


Entry 3:
First-principles (PBE) data for crystalline RbTi6O12 at its relaxed geometry, as listed in the Alexandria database.

* total magnetic moment: 0.00 μB/cell
* E_form (uncorrected): -2.769 eV/atom
* crystal system: trigonal
* space-group type: R-3, No. 148

Unit cell a=6.346 b=6.346 c=6.346 alpha=103.66 beta=103.66 gamma=103.66
Fractional coordinates of all 19 atoms:
Rb  0.000  0.000  0.000
Ti  0.161  0.320  0.578
Ti  0.320  0.578  0.161
Ti  0.422  0.839  0.680
Ti  0.578  0.161  0.320
Ti  0.680  0.422  0.839
Ti  0.839  0.680  0.422
O  0.122  0.873  0.618
O  0.127  0.382  0.878
O  0.194  0.517  0.393
O  0.382  0.878  0.127
O  0.393  0.194  0.517
O  0.483  0.607  0.806
O  0.517  0.393  0.194
O  0.607  0.806  0.483
O  0.618  0.122  0.873
O  0.806  0.483  0.607
O  0.873  0.618  0.122
O  0.878  0.127  0.382


Entry 4:
First-principles (PBE) data for crystalline Sc2TlTc at its relaxed geometry, as listed in the Alexandria database.

* total magnetic moment: 0.70 μB/cell
* crystal system: tetragonal
* E_tot: -6.376 eV/atom
* space-group type: I-4m2, No. 119

Unit cell a=5.376 b=5.376 c=5.376 alpha=133.96 beta=133.96 gamma=67.14
Fractional coordinates of all 4 atoms:
Sc  0.000  0.000  0.000
Sc  0.750  0.250  0.500
Tl  0.500  0.500  0.000
Tc  0.250  0.750  0.500


Entry 5:
First-principles (PBE) data for crystalline LiBeNi2 at its relaxed geometry, as listed in the Alexandria database.

* total magnetic moment: 0.00 μB/cell
* crystal system: orthorhombic
* E_tot: -4.367 eV/atom
* space-group type: Pmm2, No. 25

Unit cell a=2.414 b=3.550 c=4.806 alpha=90.00 beta=90.00 gamma=90.00
Fractional coordinates of all 4 atoms:
Li  0.000  0.000  0.000
Be  0.500  0.500  0.718
Ni  0.000  0.000  0.517
Ni  0.500  0.500  0.250


Entry 6:
First-principles (PBE) data for crystalline Cr2Sn4Te at its relaxed geometry, as listed in the Alexandria database.

* total magnetic moment: 7.69 μB/cell
* E_form (uncorrected): 0.839 eV/atom
* crystal system: tetragonal
* space-group type: I4/mmm, No. 139

Unit cell a=8.057 b=8.057 c=8.057 alpha=139.03 beta=139.03 gamma=59.33
Fractional coordinates of all 7 atoms:
Cr  0.095  0.095  0.000
Cr  0.905  0.905  0.000
Sn  0.000  0.500  0.500
Sn  0.285  0.285  0.000
Sn  0.500  0.000  0.500
Sn  0.715  0.715  0.000
Te  0.500  0.500  0.000


Entry 7:
First-principles (PBE) data for crystalline Te2Pd4Au at its relaxed geometry, as listed in the Alexandria database.

* total magnetic moment: 0.00 μB/cell
* E_form (uncorrected): -0.036 eV/atom
* crystal system: orthorhombic
* space-group type: Fddd, No. 70

Unit cell a=8.517 b=7.248 c=7.240 alpha=72.01 beta=54.03 gamma=53.95
Fractional coordinates of all 14 atoms:
Te  0.000  0.000  0.000
Te  0.000  0.000  0.500
Te  0.000  0.500  0.000
Te  0.500  0.000  0.000
Pd  0.100  0.331  0.332
Pd  0.262  0.668  0.669
Pd  0.331  0.100  0.738
Pd  0.332  0.738  0.100
Pd  0.668  0.262  0.900
Pd  0.669  0.900  0.262
Pd  0.738  0.332  0.331
Pd  0.900  0.669  0.668
Au  0.375  0.375  0.375
Au  0.625  0.625  0.625


Entry 8:
First-principles (PBE) data for crystalline Pm2PrDy3As6 at its relaxed geometry, as listed in the Alexandria database.

* total magnetic moment: 0.00 μB/cell
* crystal system: monoclinic
* E_tot: -6.187 eV/atom
* space-group type: C2/m, No. 12

Unit cell a=9.368 b=9.368 c=8.378 alpha=102.87 beta=102.87 gamma=25.87
Fractional coordinates of all 12 atoms:
Pm  0.167  0.167  0.334
Pm  0.833  0.833  0.666
Pr  0.500  0.500  0.000
Dy  0.167  0.167  0.833
Dy  0.500  0.500  0.500
Dy  0.833  0.833  0.167
As  0.001  0.001  0.743
As  0.331  0.331  0.920
As  0.335  0.335  0.413
As  0.665  0.665  0.587
As  0.669  0.669  0.080
As  0.999  0.999  0.257


Entry 9:
First-principles (PBE) data for crystalline PrPuZnIn at its relaxed geometry, as listed in the Alexandria database.

* total magnetic moment: 6.37 μB/cell
* crystal system: cubic
* E_tot: -5.964 eV/atom
* space-group type: F-43m, No. 216

Unit cell a=5.338 b=5.338 c=5.338 alpha=60.00 beta=60.00 gamma=60.00
Fractional coordinates of all 4 atoms:
Pr  0.000  0.000  0.000
Pu  0.500  0.500  0.500
Zn  0.250  0.250  0.250
In  0.750  0.750  0.750


Entry 10:
First-principles (PBE) data for crystalline InTcSn4 at its relaxed geometry, as listed in the Alexandria database.

* total magnetic moment: 0.00 μB/cell
* crystal system: monoclinic
* E_tot: -4.861 eV/atom
* space-group type: C2/c, No. 15

Unit cell a=6.816 b=6.816 c=6.303 alpha=90.01 beta=90.01 gamma=90.03
Fractional coordinates of all 12 atoms:
In  0.000  0.000  0.250
In  0.000  0.000  0.750
Tc  0.498  0.502  0.750
Tc  0.502  0.498  0.250
Sn  0.184  0.382  0.001
Sn  0.185  0.618  0.499
Sn  0.382  0.184  0.501
Sn  0.382  0.815  0.001
Sn  0.618  0.185  0.999
Sn  0.618  0.816  0.499
Sn  0.815  0.382  0.501
Sn  0.816  0.618  0.999


Entry 11:
First-principles (PBE) data for crystalline Ac8CdRu2 at its relaxed geometry, as listed in the Alexandria database.

* total magnetic moment: 0.00 μB/cell
* crystal system: monoclinic
* E_tot: -4.817 eV/atom
* space-group type: Cm, No. 8

Unit cell a=8.640 b=8.640 c=6.193 alpha=97.60 beta=97.60 gamma=115.48
Fractional coordinates of all 11 atoms:
Ac  0.000  0.000  0.000
Ac  0.054  0.313  0.634
Ac  0.148  0.636  0.202
Ac  0.313  0.054  0.634
Ac  0.471  0.730  0.769
Ac  0.636  0.148  0.202
Ac  0.730  0.471  0.769
Ac  0.784  0.784  0.404
Cd  0.392  0.392  0.204
Ru  0.104  0.680  0.702
Ru  0.680  0.104  0.702


Entry 12:
First-principles (PBE) data for crystalline La5Dy7 at its relaxed geometry, as listed in the Alexandria database.

* total magnetic moment: 0.00 μB/cell
* crystal system: monoclinic
* E_tot: -4.726 eV/atom
* space-group type: C2/m, No. 12

Unit cell a=9.633 b=9.633 c=13.331 alpha=117.85 beta=117.85 gamma=21.84
Fractional coordinates of all 12 atoms:
La  0.000  0.000  0.000
La  0.165  0.165  0.497
La  0.306  0.306  0.250
La  0.694  0.694  0.750
La  0.835  0.835  0.503
Dy  0.026  0.026  0.751
Dy  0.334  0.334  0.004
Dy  0.362  0.362  0.752
Dy  0.500  0.500  0.500
Dy  0.638  0.638  0.248
Dy  0.666  0.666  0.996
Dy  0.974  0.974  0.249